Computed, not measured: Zr2InSe after structural relaxation at the PBE level of DFT.

* energy relative to the elements, uncorrected: 0.15 eV/atom
* size of the total moment: 0.000 μB/atom
* space-group type: No. 122

a b c (Å): 5.615 5.615 8.532
angles (deg): 70.79 70.79 90.00
Sites, in units of the cell vectors:
Se  0.250  0.750  0.500
Se  0.500  0.500  0.000
Zr  0.578  0.125  0.250
Zr  0.875  0.828  0.750
Zr  0.172  0.625  0.250
Zr  0.375  0.422  0.750
In  0.000  0.000  0.000
In  0.750  0.250  0.500



Computed, not measured: Zr2InSe after structural relaxation at the PBE level of DFT.

* energy relative to the elements, uncorrected: -0.42 eV/atom
* size of the total moment: 0.000 μB/atom
* space-group type: No. 160

a b c (Å): 9.354 9.354 9.354
angles (deg): 21.34 21.34 21.34
Sites, in units of the cell vectors:
Zr  0.253  0.253  0.253
Zr  0.008  0.008  0.008
Se  0.741  0.741  0.741
In  0.497  0.497  0.497



Computed, not measured: Zr3In5Se12 after structural relaxation at the PBE level of DFT.

* energy relative to the elements, uncorrected: -0.64 eV/atom
* size of the total moment: 0.058 μB/atom
* space-group type: No. 230

a b c (Å): 14.017 14.017 14.017
angles (deg): 109.47 109.47 109.47
Site moments in Bohr magnetons follow the coordinates.
Sites, in units of the cell vectors:
In  0.750  0.625  0.375  0.02
In  0.000  0.500  0.500  0.01
In  0.500  0.500  0.000  0.01
In  0.125  0.375  0.250  0.02
In  0.375  0.250  0.125  0.02
In  0.000  0.000  0.500  0.01
In  0.125  0.750  0.375  0.02
In  0.625  0.875  0.250  0.02
In  0.875  0.625  0.750  0.02
In  0.875  0.250  0.625  0.02
In  0.000  0.000  0.000  0.01
In  0.500  0.500  0.500  0.01
In  0.250  0.875  0.125  0.02
In  0.500  0.000  0.000  0.01
In  0.625  0.750  0.875  0.02
In  0.000  0.500  0.000  0.01
In  0.500  0.000  0.500  0.01
In  0.375  0.125  0.750  0.02
In  0.250  0.375  0.625  0.02
In  0.750  0.125  0.875  0.02
Se  0.417  0.362  0.589  -0.01
Se  0.083  0.911  0.138  -0.01
Se  0.445  0.672  0.083  -0.01
Se  0.862  0.273  0.445  -0.01
Se  0.328  0.773  0.411  -0.01
Se  0.672  0.227  0.589  -0.01
Se  0.862  0.589  0.917  -0.01
Se  0.089  0.172  0.227  -0.01
Se  0.083  0.172  0.445  -0.01
Se  0.589  0.727  0.672  -0.01
Se  0.138  0.727  0.555  -0.01
Se  0.445  0.773  0.862  -0.01
Se  0.172  0.089  0.727  -0.01
Se  0.273  0.411  0.828  -0.01
Se  0.089  0.917  0.362  -0.01
Se  0.589  0.862  0.417  -0.01
Se  0.328  0.555  0.417  -0.01
Se  0.138  0.411  0.083  -0.01
Se  0.773  0.328  0.911  -0.01
Se  0.638  0.583  0.911  -0.01
Se  0.172  0.083  0.945  -0.01
Se  0.638  0.055  0.227  -0.01
Se  0.583  0.945  0.672  -0.01
Se  0.362  0.417  0.089  -0.01
Se  0.911  0.083  0.638  -0.01
Se  0.945  0.362  0.273  -0.01
Se  0.828  0.911  0.273  -0.01
Se  0.917  0.828  0.555  -0.01
Se  0.273  0.862  0.945  -0.01
Se  0.055  0.638  0.727  -0.01
Se  0.917  0.089  0.862  -0.01
Se  0.727  0.589  0.172  -0.01
Se  0.362  0.945  0.773  -0.01
Se  0.911  0.828  0.773  -0.01
Se  0.672  0.445  0.583  -0.01
Se  0.417  0.055  0.328  -0.01
Se  0.773  0.445  0.362  -0.01
Se  0.727  0.138  0.055  -0.01
Se  0.828  0.917  0.055  -0.01
Se  0.227  0.672  0.089  -0.01
Se  0.411  0.138  0.583  -0.01
Se  0.411  0.273  0.328  -0.01
Se  0.945  0.583  0.172  -0.01
Se  0.555  0.227  0.138  -0.01
Se  0.055  0.417  0.828  -0.01
Se  0.555  0.328  0.917  -0.01
Se  0.583  0.638  0.411  -0.01
Se  0.227  0.555  0.638  -0.01
Zr  0.250  0.125  0.375  0.26
Zr  0.125  0.250  0.875  0.26
Zr  0.625  0.250  0.375  0.26
Zr  0.750  0.375  0.125  0.26
Zr  0.125  0.875  0.750  0.26
Zr  0.375  0.750  0.625  0.26
Zr  0.875  0.125  0.250  0.26
Zr  0.750  0.875  0.625  0.26
Zr  0.875  0.750  0.125  0.26
Zr  0.250  0.625  0.875  0.26
Zr  0.375  0.625  0.250  0.26
Zr  0.625  0.375  0.750  0.26



Computed, not measured: InSi4 after structural relaxation at the PBE level of DFT.

* energy relative to the elements, uncorrected: 0.45 eV/atom
* size of the total moment: 0.000 μB/atom
* space-group type: No. 87

a b c (Å): 5.391 5.391 5.391
angles (deg): 95.55 95.55 143.76
Sites, in units of the cell vectors:
Si  0.629  0.854  0.483
Si  0.854  0.371  0.226
Si  0.146  0.629  0.774
Si  0.371  0.146  0.517
In  0.000  0.000  0.000



Computed, not measured: InSi after structural relaxation at the PBE level of DFT.

* energy relative to the elements, uncorrected: 0.30 eV/atom
* size of the total moment: 0.000 μB/atom
* space-group type: No. 8

a b c (Å): 6.218 6.218 6.889
angles (deg): 72.44 72.44 31.93
Sites, in units of the cell vectors:
In  0.639  0.639  0.678
In  0.648  0.648  0.198
In  0.939  0.939  0.068
Si  0.312  0.312  0.831
Si  0.946  0.946  0.604
Si  0.350  0.350  0.453



Computed, not measured: InSi after structural relaxation at the PBE level of DFT.

* energy relative to the elements, uncorrected: 0.33 eV/atom
* size of the total moment: 0.000 μB/atom
* space-group type: No. 194

a b c (Å): 4.171 4.171 12.255
angles (deg): 90.00 90.00 120.00
Sites, in units of the cell vectors:
In  0.667  0.333  0.587
In  0.667  0.333  0.913
In  0.333  0.667  0.087
In  0.333  0.667  0.413
Si  0.667  0.333  0.250
Si  0.000  0.000  0.250
Si  0.333  0.667  0.750
Si  0.000  0.000  0.750



Computed, not measured: In5Si after structural relaxation at the PBE level of DFT.

* energy relative to the elements, uncorrected: 0.17 eV/atom
* size of the total moment: 0.000 μB/atom
* space-group type: No. 8

a b c (Å): 6.197 6.197 8.773
angles (deg): 64.35 64.35 30.43
Sites, in units of the cell vectors:
In  0.695  0.695  0.611
In  0.058  0.058  0.964
In  0.331  0.331  0.258
In  0.014  0.014  0.425
In  0.375  0.375  0.798
Si  0.694  0.694  0.112



Computed, not measured: InSi after structural relaxation at the PBE level of DFT.

* energy relative to the elements, uncorrected: 0.26 eV/atom
* size of the total moment: 0.000 μB/atom
* space-group type: No. 83

a b c (Å): 10.102 10.102 3.663
angles (deg): 90.00 90.00 90.00
Sites, in units of the cell vectors:
Si  0.870  0.307  0.500
Si  0.889  0.461  0.000
Si  0.111  0.539  0.000
Si  0.693  0.870  0.500
Si  0.461  0.111  0.000
Si  0.539  0.889  0.000
Si  0.307  0.130  0.500
Si  0.130  0.693  0.500
In  0.700  0.585  0.500
In  0.084  0.213  0.000
In  0.213  0.916  0.000
In  0.916  0.787  0.000
In  0.415  0.700  0.500
In  0.300  0.415  0.500
In  0.585  0.300  0.500
In  0.787  0.084  0.000